Entry 1:
Below is a relaxed structure of GdTmAl, with properties calculated at the PBE level.

Summary:
excess energy over the best structure of this formula in the dataset	0.0	kJ per mole of atoms

abc: 6.5304 5.0907 9.4383
angles: 90.00 90.00 90.00
Closest atoms and distances in Å follow each position.
Space group Pnma (No. 62)
Unique sites:
Gd: 0.1912 0.2500 0.0742 x4  5 Al 3.06-3.36, 2 Tm 3.40
Tm: 0.0257 0.2500 0.7121 x4  3 Al 3.13-3.18, 2 Tm 3.34, 3 Gd 3.40-3.48
Al: 0.2038 0.2500 0.3985 x4  5 Gd 3.06-3.36, 3 Tm 3.13-3.18

=====

Entry 2:
Below is a relaxed structure of Gd2Tc2O5, with properties calculated at the PBE level.

Summary:
excess energy over the best structure of this formula in the dataset	37.3	kJ per mole of atoms

abc: 3.5805 3.5805 9.5208
angles: 90.00 90.00 90.00
Closest atoms and distances in Å follow each position.
Space group P4/mmm (No. 123)
Unique sites:
Gd: 0.0000 0.0000 0.2415 x2  5 O 2.21-2.30
Tc: 0.5000 0.5000 0.0000 x1  4 O 2.53
Tc: 0.5000 0.5000 0.5000 x1  8 O 2.14
O: 0.0000 0.0000 0.0000 x1  2 Gd 2.30, 4 Tc 2.53
O: 0.0000 0.5000 0.3770 x4  2 Tc 2.14, 2 Gd 2.21, 1 O 2.34

=====

Entry 3:
Below is a relaxed structure of ErNbIr, with properties calculated at the PBE level.

Summary:
formation energy from the elements	-0.2263	eV per atom
excess energy over the best structure of this formula in the dataset	0.0	kJ per mole of atoms

abc: 6.4427 6.4427 6.4427
angles: 90.00 90.00 90.00
Closest atoms and distances in Å follow each position.
Space group F-43m (No. 216)
Unique sites:
Er: 0.0000 0.0000 0.0000 x4  4 Ir 2.79
Nb: 0.0000 0.0000 0.5000 x4  4 Ir 2.79
Ir: 0.2500 0.2500 0.7500 x4  4 Nb 2.79, 4 Er 2.79

=====

Entry 4:
Below is a relaxed structure of Y3Tm3CuTe2, with properties calculated at the PBE level.

Summary:
excess energy over the best structure of this formula in the dataset	4.7	kJ per mole of atoms

abc: 8.3878 8.3878 3.9105
angles: 90.00 90.00 120.00
Closest atoms and distances in Å follow each position.
Space group P-62m (No. 189)
Unique sites:
Y: 0.0000 0.2467 0.0000 x3  2 Cu 2.85
Tm: 0.0000 0.5976 0.5000 x3  4 Te 3.22, 1 Cu 3.37, 6 Y 3.53-3.54
Cu: 0.0000 0.0000 0.5000 x1  6 Y 2.85
Te: 0.3333 0.6667 0.0000 x2  6 Tm 3.22, 3 Y 3.22

=====

Entry 5:
Below is a relaxed structure of CsTaNb, with properties calculated at the PBE level.

abc: 6.6176 6.6176 6.6176
angles: 90.00 90.00 90.00
Closest atoms and distances in Å follow each position.
Space group F-43m (No. 216)
Unique sites:
Cs: 0.0000 0.0000 0.0000 x4  4 Ta 2.87, 4 Nb 2.87
Ta: 0.2500 0.2500 0.2500 x4  4 Cs 2.87
Nb: 0.2500 0.2500 0.7500 x4  4 Cs 2.87

=====

Entry 6:
Below is a relaxed structure of Be2CuAu, with properties calculated at the PBE level.

abc: 5.7701 5.7701 5.7701
angles: 90.00 90.00 90.00
Closest atoms and distances in Å follow each position.
Space group F-43m (No. 216)
Unique sites:
Be: 0.0000 0.0000 0.0000 x4  4 Be 2.50, 4 Au 2.50
Be: 0.2500 0.2500 0.2500 x4  4 Be 2.50, 4 Cu 2.50
Cu: 0.0000 0.0000 0.5000 x4  4 Be 2.50, 4 Au 2.50
Au: 0.2500 0.2500 0.7500 x4  4 Be 2.50, 4 Cu 2.50

=====

Entry 7:
Below is a relaxed structure of ReSnAs, with properties calculated at the PBE level.

Summary:
excess energy over the best structure of this formula in the dataset	0.0	kJ per mole of atoms

abc: 10.9703 3.1873 6.9155
angles: 90.00 90.00 90.00
Closest atoms and distances in Å follow each position.
Space group Pnma (No. 62)
Unique sites:
Re: 0.0921 0.2500 0.0918 x4  3 As 2.48-2.51
Sn: 0.2220 0.2500 0.4357 x4  3 Re 2.77-2.80, 1 As 2.87
As: 0.0431 0.2500 0.7379 x4  3 Re 2.48-2.51

=====

Entry 8:
Below is a relaxed structure of NbCuGeOs, with properties calculated at the PBE level.

Summary:
excess energy over the best structure of this formula in the dataset	8.5	kJ per mole of atoms

abc: 6.1525 6.1525 6.1525
angles: 90.00 90.00 90.00
Closest atoms and distances in Å follow each position.
Space group F-43m (No. 216)
Unique sites:
Nb: 0.0000 0.0000 0.0000 x4  4 Ge 2.66, 4 Cu 2.66
Cu: 0.2500 0.2500 0.7500 x4  4 Nb 2.66, 4 Os 2.66
Ge: 0.2500 0.2500 0.2500 x4  4 Nb 2.66, 4 Os 2.66
Os: 0.0000 0.0000 0.5000 x4  4 Ge 2.66, 4 Cu 2.66

=====

Number 1: uncorrected energy -55.00 eV for the cell shown. Number 2: uncorrected energy -69.05 eV for the cell shown. Number 3: uncorrected energy -96.76 eV for the cell shown. Number 4: uncorrected energy -48.32 eV for the cell shown. Number 5: uncorrected energy -55.75 eV for the cell shown. Number 6: uncorrected energy -56.72 eV for the cell shown. Number 7: uncorrected energy -85.01 eV for the cell shown. Number 8: uncorrected energy -117.29 eV for the cell shown.